# TaV2SiF | Alexandria | PBE+U | optimized geometry
# E_tot = -5.45 eV/atom
# Space-group type = P4/mmm, No. 123
# Mass density = 5.31 g cm⁻³
# D(E_F) = 4.8 states/eV/f.u.
data_TaV2SiF
_chemical_formula_sum 'Ta1 V2 Si1 F1'
_symmetry_space_group_name_H-M 'P 1'
_symmetry_Int_Tables_number 1
_symmetry_space_group_name_Hall 'P 1'
_cell_length_a 4.634
_cell_length_b 4.808
_cell_length_c 4.634
_cell_angle_alpha 90.00
_cell_angle_beta 90.00
_cell_angle_gamma 90.00
loop_
_atom_site_label
_atom_site_type_symbol
_atom_site_fract_x
_atom_site_fract_y
_atom_site_fract_z
V1 V 0.000 0.000 0.500
V2 V 0.500 0.000 0.000
Ta1 Ta 0.000 0.500 0.000
F1 F 0.500 0.500 0.500
Si1 Si 0.000 0.000 0.000